Record 1
GdAl: optimized geometry, GGA-PBE.

Unit cell a=5.907 b=5.907 c=5.593 alpha=90.00 beta=90.00 gamma=79.08
Sites, in units of the cell vectors:
Gd (0.030, 0.339, 0.250)
Gd (0.339, 0.030, 0.750)
Gd (0.661, 0.970, 0.250)
Gd (0.970, 0.661, 0.750)
Al (0.189, 0.811, 0.250)
Al (0.500, 0.500, 0.000)
Al (0.500, 0.500, 0.500)
Al (0.811, 0.189, 0.750)

Results
Theoretical density (g/cm3): 6.387
Electronic total energy (eV per atom): -9.327
ΔH_f (0 K) (meV/atom): -416

Record 2
GdAl2: optimized geometry, GGA-PBE.

Unit cell a=5.591 b=5.591 c=5.591 alpha=60.00 beta=60.00 gamma=60.00
Sites, in units of the cell vectors:
Gd (0.125, 0.125, 0.125)
Gd (0.875, 0.875, 0.875)
Al (0.000, 0.500, 0.500)
Al (0.500, 0.000, 0.500)
Al (0.500, 0.500, 0.000)
Al (0.500, 0.500, 0.500)

Results
Theoretical density (g/cm3): 5.676
Electronic total energy (eV per atom): -7.723
ΔH_f (0 K) (meV/atom): -534

Record 3
Gd3Al: optimized geometry, GGA-PBE.

Unit cell a=6.574 b=6.574 c=6.574 alpha=146.62 beta=132.39 gamma=59.39
Sites, in units of the cell vectors:
Gd (0.000, 0.000, 0.000)
Gd (0.286, 0.786, 0.500)
Gd (0.714, 0.214, 0.500)
Al (0.500, 0.500, 0.000)

Results
Theoretical density (g/cm3): 7.237
Electronic total energy (eV per atom): -11.667
ΔH_f (0 K) (meV/atom): -171